#one
Crystalline SbOs2Pb at its relaxed geometry, computed with GGA-PBE.

Values from the calculation:
As for the space-group type: R3m (160).

a = 10.7456 Å, b = 10.7456 Å, c = 10.7456 Å
α = 16.25°, β = 16.25°, γ = 16.25°
With the nearest neighbours (Å) after each atom.
Sites, in units of the cell vectors:
Os 0.9921 0.9921 0.9921  3 Os 2.65, 3 Sb 2.81
Os 0.2629 0.2629 0.2629  3 Os 2.65
Pb 0.5174 0.5174 0.5174  6 Pb 3.04, 3 Os 3.06
Sb 0.7276 0.7276 0.7276  3 Os 2.81, 6 Sb 3.04


#two
Crystalline SbOs2Pb at its relaxed geometry, computed with GGA-PBE.

Values from the calculation:
As for the space-group type: P2/m (10).

a = 4.2632 Å, b = 3.0662 Å, c = 6.4172 Å
α = 95.68°, β = 90.00°, γ = 90.00°
With the nearest neighbours (Å) after each atom.
Sites, in units of the cell vectors:
Os 0.0000 0.0830 0.9323  2 Sb 2.59, 1 Os 2.65
Os 0.0000 0.4170 0.5677  2 Sb 2.59, 1 Os 2.65
Pb 0.5000 0.2500 0.2500  4 Os 2.96, 2 Pb 3.07
Sb 0.5000 0.7500 0.7500  4 Os 2.59


#three
Crystalline SbOs2Pb at its relaxed geometry, computed with GGA-PBE.

Values from the calculation:
As for the space-group type: Imm2 (44).

a = 6.2369 Å, b = 6.2369 Å, c = 6.2369 Å
α = 152.09°, β = 135.16°, γ = 53.64°
With the nearest neighbours (Å) after each atom.
Sites, in units of the cell vectors:
Os 0.9735 0.9735 0.0000  2 Os 2.60, 4 Pb 2.87
Os 0.7835 0.2835 0.5000  2 Os 2.60
Pb 0.5252 0.5252 0.0000  4 Os 2.87, 2 Pb 3.01, 2 Sb 3.20
Sb 0.2179 0.7179 0.5000  6 Os 2.91-3.11, 2 Sb 3.01, 2 Pb 3.20


#four
Crystalline SbOs2Pb at its relaxed geometry, computed with GGA-PBE.

Values from the calculation:
As for the space-group type: P4/mmm (123).

a = 4.6901 Å, b = 4.6901 Å, c = 3.3237 Å
α = 90.00°, β = 90.00°, γ = 90.00°
With the nearest neighbours (Å) after each atom.
Sites, in units of the cell vectors:
Os 0.0000 0.0000 0.0000  4 Pb 2.87, 4 Sb 2.87
Os 0.5000 0.5000 0.0000  4 Sb 2.87, 4 Pb 2.87
Pb 0.5000 0.0000 0.5000  8 Os 2.87
Sb 0.0000 0.5000 0.5000  8 Os 2.87


Here are the energies relative to the best structure, in meV/atom: #one 0; #two 378; #three 208; #four 221.


#one
Crystalline SbOs2Pb at its relaxed geometry, computed with GGA-PBE.

Values from the calculation:
As for the space-group type: I-4m2 (119).

a = 5.1043 Å, b = 5.1043 Å, c = 5.1043 Å
α = 130.30°, β = 130.30°, γ = 72.93°
With the nearest neighbours (Å) after each atom.
Sites, in units of the cell vectors:
Os 0.0000 0.0000 0.0000  4 Sb 2.97, 4 Os 2.97, 4 Pb 3.03
Os 0.2500 0.7500 0.5000  4 Pb 2.97, 4 Os 2.97, 4 Sb 3.03
Pb 0.5000 0.5000 0.0000  8 Os 2.97-3.03, 4 Sb 2.97
Sb 0.7500 0.2500 0.5000  4 Pb 2.97, 8 Os 2.97-3.03


#two
Crystalline SbOs2Pb at its relaxed geometry, computed with GGA-PBE.

Values from the calculation:
As for the space-group type: F-43m (216).

a = 4.7702 Å, b = 4.7702 Å, c = 4.7702 Å
α = 60.00°, β = 60.00°, γ = 60.00°
With the nearest neighbours (Å) after each atom.
Sites, in units of the cell vectors:
Os 0.0000 0.0000 0.0000  4 Sb 2.92, 4 Os 2.92
Os 0.7500 0.7500 0.7500  4 Pb 2.92, 4 Os 2.92
Pb 0.5000 0.5000 0.5000  4 Os 2.92, 4 Sb 2.92
Sb 0.2500 0.2500 0.2500  4 Pb 2.92, 4 Os 2.92


#three
Crystalline SbOs2Pb at its relaxed geometry, computed with GGA-PBE.

Values from the calculation:
As for the space-group type: Cmmm (65).

a = 3.1622 Å, b = 3.1622 Å, c = 8.8230 Å
α = 90.00°, β = 90.00°, γ = 118.29°
With the nearest neighbours (Å) after each atom.
Sites, in units of the cell vectors:
Os 0.0000 0.0000 0.9840  2 Sb 2.63, 2 Pb 2.85
Os 0.0000 0.0000 0.5160  2 Sb 2.63, 2 Pb 2.85
Pb 0.5000 0.5000 0.2500  4 Os 2.85, 4 Pb 3.16
Sb 0.5000 0.5000 0.7500  4 Os 2.63


Here are the energies relative to the best structure, in meV/atom: #one 6; #two 85; #three 0.


#one
Crystalline SbOs2Pb at its relaxed geometry, computed with GGA-PBE.

Values from the calculation:
As for the space-group type: Immm (71).

a = 5.5165 Å, b = 5.5165 Å, c = 5.5165 Å
α = 146.27°, β = 121.99°, γ = 68.81°
With the nearest neighbours (Å) after each atom.
Sites, in units of the cell vectors:
Os 0.0217 0.0217 0.0000  2 Sb 2.62
Os 0.4783 0.4783 0.0000  2 Sb 2.62
Pb 0.7500 0.2500 0.5000  4 Os 2.95, 4 Sb 3.12, 2 Pb 3.20
Sb 0.2500 0.7500 0.5000  4 Os 2.62


#two
Crystalline SbOs2Pb at its relaxed geometry, computed with GGA-PBE.

Values from the calculation:
As for the space-group type: Fm-3m (225).

a = 4.6884 Å, b = 4.6884 Å, c = 4.6884 Å
α = 60.00°, β = 60.00°, γ = 60.00°
With the nearest neighbours (Å) after each atom.
Sites, in units of the cell vectors:
Pb 0.5000 0.5000 0.5000  8 Os 2.87
Sb 0.0000 0.0000 0.0000  8 Os 2.87
Os 0.2500 0.2500 0.2500  4 Pb 2.87, 4 Sb 2.87
Os 0.7500 0.7500 0.7500  4 Pb 2.87, 4 Sb 2.87


Here are the energies relative to the best structure, in meV/atom: #one 220; #two 0.


#one
Crystalline SbOs2Pb at its relaxed geometry, computed with GGA-PBE.

Values from the calculation:
As for the space-group type: P4mm (99).

a = 3.0095 Å, b = 3.0095 Å, c = 9.4929 Å
α = 90.00°, β = 90.00°, γ = 90.00°
With the nearest neighbours (Å) after each atom.
Sites, in units of the cell vectors:
Os 0.0000 0.0000 0.0354  4 Os 2.65, 4 Sb 2.91
Os 0.5000 0.5000 0.2011  4 Os 2.65
Pb 0.0000 0.0000 0.4376  4 Pb 3.01, 4 Os 3.09
Sb 0.5000 0.5000 0.8258  4 Os 2.91, 4 Sb 3.01


#two
Crystalline SbOs2Pb at its relaxed geometry, computed with GGA-PBE.

Values from the calculation:
As for the space-group type: I-42d (122).

a = 6.0757 Å, b = 6.0757 Å, c = 7.3450 Å
α = 65.57°, β = 65.57°, γ = 90.00°
With the nearest neighbours (Å) after each atom.
Sites, in units of the cell vectors:
Pb 0.0000 0.0000 0.0000  4 Os 2.68
Pb 0.7500 0.2500 0.5000  4 Os 2.68
Sb 0.5000 0.5000 0.0000  4 Os 2.56
Sb 0.2500 0.7500 0.5000  4 Os 2.56
Os 0.6080 0.1250 0.2500  2 Sb 2.56, 2 Pb 2.68
Os 0.1420 0.6250 0.2500  2 Sb 2.56, 2 Pb 2.68
Os 0.3750 0.3920 0.7500  2 Sb 2.56, 2 Pb 2.68
Os 0.8750 0.8580 0.7500  2 Sb 2.56, 2 Pb 2.68


#three
Crystalline SbOs2Pb at its relaxed geometry, computed with GGA-PBE.

Values from the calculation:
As for the space-group type: C2/m (12).

a = 4.6504 Å, b = 4.6504 Å, c = 5.7484 Å
α = 77.46°, β = 77.46°, γ = 39.37°
With the nearest neighbours (Å) after each atom.
Sites, in units of the cell vectors:
Os 0.0010 0.0010 0.0428  3 Sb 2.71-2.74, 2 Os 2.85, 2 Pb 2.89
Os 0.4990 0.4990 0.4572  3 Sb 2.71-2.74, 2 Os 2.85, 2 Pb 2.89
Pb 0.7500 0.7500 0.7500  6 Os 2.89-3.06, 2 Pb 3.13
Sb 0.2500 0.2500 0.2500  6 Os 2.71-2.74


Here are the energies relative to the best structure, in meV/atom: #one 0; #two 954; #three 368.


#one
Crystalline SbOs2Pb at its relaxed geometry, computed with GGA-PBE.

Values from the calculation:
As for the space-group type: Pmm2 (25).

a = 2.9374 Å, b = 3.7520 Å, c = 7.9991 Å
α = 90.00°, β = 90.00°, γ = 90.00°
With the nearest neighbours (Å) after each atom.
Sites, in units of the cell vectors:
Os 0.0000 0.0000 0.0442  6 Os 2.64-2.94, 4 Sb 2.92
Os 0.5000 0.5000 0.1869  6 Os 2.64-2.94, 1 Sb 2.83
Pb 0.0000 0.0000 0.4357  2 Pb 2.94, 5 Os 3.10-3.13
Sb 0.5000 0.5000 0.8331  5 Os 2.83-2.92, 2 Sb 2.94


#two
Crystalline SbOs2Pb at its relaxed geometry, computed with GGA-PBE.

Values from the calculation:
As for the space-group type: Cm (8).

a = 4.5395 Å, b = 4.5395 Å, c = 7.1655 Å
α = 85.15°, β = 85.15°, γ = 38.95°
With the nearest neighbours (Å) after each atom.
Sites, in units of the cell vectors:
Os 0.0061 0.0061 0.9472  3 Os 2.52-2.60, 2 Sb 2.79
Os 0.7395 0.7395 0.8228  3 Os 2.52-2.60
Pb 0.4774 0.4774 0.5761  5 Os 2.98-3.09, 2 Pb 3.03
Sb 0.2770 0.2770 0.1539  5 Os 2.79-2.86, 2 Sb 3.03


Here are the energies relative to the best structure, in meV/atom: #one 0; #two 53.